Entry from the Alexandria database: CaInFe at its PBEsol-relaxed geometry (meta-GGA SCAN).

The value obtained for the density of states at the Fermi level is 2.43 states/eV/f.u. As for the space-group type: I4mm, No. 107. The calculation puts the formation energy from the elements at 113 meV/atom. The value obtained for the total DFT energy (no corrections) is -20.280 eV per atom. For the total magnetization, the calculation gives 2.4 μB per formula unit.

Cell: 5.9192 5.9192 5.9192 Å, 146.56 146.56 48.02°
Atoms (fractional coordinates):
Ca (0.0000, 0.0000, 0.0000)
In (0.7093, 0.7093, 0.0000)
Fe (0.3200, 0.3200, 0.0000)

Entry from the Alexandria database: CaIn2Fe at its PBEsol-relaxed geometry (meta-GGA SCAN).

The value obtained for the density of states at the Fermi level is 2.00 states/eV/f.u. As for the space-group type: Pm, No. 6. The calculation puts the formation energy from the elements at 22 meV/atom. The value obtained for the total DFT energy (no corrections) is -23.619 eV per atom. For the total magnetization, the calculation gives 3.1 μB per formula unit.

Cell: 3.3529 4.7913 5.6198 Å, 90.00 90.07 90.00°
Atoms (fractional coordinates):
Ca (0.0000, 0.0000, 0.0000)
In (0.4991, 0.5000, 0.7615)
In (0.5004, 0.0000, 0.4691)
Fe (0.5013, 0.5000, 0.2449)